Entry 1:
{"formula": "Th4As2Se5", "functional": "GGA-PBE", "state": "relaxed", "final_energy_ev_per_atom": -6.563, "crystal_system": "monoclinic", "e_form_raw_mev_per_atom": -1435.3, "spacegroup": "C2/m", "cell": [[11.786, -2.088, 0.000], [11.786, 2.088, 0.000], [-0.272, 0.000, 7.878]], "species": ["Th", "Th", "Th", "Th", "As", "As", "Se", "Se", "Se", "Se", "Se"], "fractional_positions": [[0.014, 0.014, 0.269], [0.327, 0.327, 0.580], [0.673, 0.673, 0.420], [0.986, 0.986, 0.731], [0.443, 0.443, 0.453], [0.557, 0.557, 0.547], [0.134, 0.134, 0.188], [0.207, 0.207, 0.662], [0.500, 0.500, 0.000], [0.793, 0.793, 0.338], [0.866, 0.866, 0.812]]}

---

Entry 2:
{"formula": "Th4As3Se", "functional": "GGA-PBE", "state": "relaxed", "final_energy_ev_per_atom": -7.319, "crystal_system": "cubic", "e_form_raw_mev_per_atom": -1429.6, "spacegroup": "Pm-3m", "e_above_lowest_polymorph_ev_per_atom": 0.012, "cell": [[6.001, 0.000, 0.000], [0.000, 6.001, 0.000], [0.000, 0.000, 6.001]], "species": ["Th", "Th", "Th", "Th", "As", "As", "As", "Se"], "fractional_positions": [[0.000, 0.000, 0.000], [0.000, 0.500, 0.500], [0.500, 0.000, 0.500], [0.500, 0.500, 0.000], [0.000, 0.000, 0.500], [0.000, 0.500, 0.000], [0.500, 0.000, 0.000], [0.500, 0.500, 0.500]]}

---

Entry 3:
{"formula": "ThAsSe", "functional": "GGA-PBE", "state": "relaxed", "final_energy_ev_per_atom": -6.622, "crystal_system": "tetragonal", "e_form_raw_mev_per_atom": -1437.3, "spacegroup": "P4/nmm", "cell": [[4.139, 0.000, 0.000], [0.000, 4.139, 0.000], [0.000, 0.000, 8.562]], "species": ["Th", "Th", "As", "As", "Se", "Se"], "fractional_positions": [[0.250, 0.250, 0.235], [0.750, 0.750, 0.765], [0.250, 0.750, 0.500], [0.750, 0.250, 0.500], [0.250, 0.250, 0.868], [0.750, 0.750, 0.132]]}

---

Entry 4:
{"formula": "Th2AsSe", "functional": "GGA-PBE", "state": "relaxed", "final_energy_ev_per_atom": -7.030, "crystal_system": "cubic", "e_form_raw_mev_per_atom": -1286.8, "spacegroup": "Fm-3m", "e_above_lowest_polymorph_ev_per_atom": 0.207, "cell": [[0.000, 3.653, 3.653], [3.653, 0.000, 3.653], [3.653, 3.653, 0.000]], "species": ["Th", "Th", "As", "Se"], "fractional_positions": [[0.250, 0.250, 0.250], [0.750, 0.750, 0.750], [0.000, 0.000, 0.000], [0.500, 0.500, 0.500]]}